No. 1
A plane-wave DFT calculation with PBE was carried out for a relaxed structure of Mg2ZnHg.

Properties
Space-group type: P1, No. 1
E above lowest polymorph in meV/atom: 49.9

The structure in POSCAR format:
```
Mg2ZnHg
1.0
-3.224 0.651 0.428
-0.631 -4.482 1.947
-0.885 0.641 5.373
Zn Mg Hg
1 2 1
direct
0.867 0.976 0.354 Zn
0.390 0.473 0.316 Mg
0.613 0.117 0.866 Mg
0.143 0.632 0.812 Hg
```

No. 2
A plane-wave DFT calculation with PBE was carried out for a relaxed structure of MgZnHg2.

Properties
Space-group type: Pmmm, No. 47

The structure in POSCAR format:
```
MgZnHg2
1.0
4.481 0.000 0.000
0.000 4.494 0.000
0.000 0.000 4.113
Hg Mg Zn
2 1 1
direct
0.500 0.500 0.000 Hg
0.000 0.000 0.000 Hg
0.500 0.000 0.500 Mg
0.000 0.500 0.500 Zn
```

No. 3
A plane-wave DFT calculation with PBE was carried out for a relaxed structure of MgZnHg2.

Properties
Space-group type: I4/mmm, No. 139

The structure in POSCAR format:
```
MgZnHg2
1.0
-2.501 4.338 0.581
-1.258 -0.496 4.856
4.673 -0.428 -1.843
Mg Zn Hg
1 1 2
direct
0.750 0.250 0.500 Mg
0.250 0.750 0.500 Zn
0.000 0.000 0.000 Hg
0.500 0.500 0.000 Hg
```

Asked for formation enthalpy at 0 K across the records above, the calculation gives -0.10 -0.04 -0.05 eV per atom in order.